1.
YInCuW | the Open Quantum Materials Database | PBE | relaxed; M_tot = 2.2 μB/cell; symmetry = No. 216; theoretical density = 9246 kg/m3; VASP energy = -5.74 eV per atom
1.0
0.0000 3.4344 3.4344
3.4344 0.0000 3.4344
3.4344 3.4344 0.0000
In W Cu Y
1 1 1 1
Direct
0.0000 0.0000 0.0000
0.5000 0.5000 0.5000
0.7500 0.7500 0.7500
0.2500 0.2500 0.2500

---

2.
ZnInCuW | the Open Quantum Materials Database | PBE | relaxed; M_tot = 1.8 μB/cell; symmetry = No. 216; theoretical density = 11099 kg/m3; VASP energy = -4.55 eV per atom
1.0
2.1268 -3.7470 -1.2611
1.9836 -2.5988 3.0765
-1.7391 -4.0147 1.0053
Zn In Cu W
1 1 1 1
Direct
0.2500 0.2500 0.2500
0.0000 0.0000 0.0000
0.7500 0.7500 0.7500
0.5000 0.5000 0.5000

---

3.
ZnInCuW | the Open Quantum Materials Database | PBE | relaxed; M_tot = 1.6 μB/cell; symmetry = No. 216; theoretical density = 10840 kg/m3; VASP energy = -4.52 eV per atom
1.0
4.4048 -0.8500 0.5908
1.3156 -3.1970 2.9192
1.7833 -3.8663 -1.5312
Zn Cu W In
1 1 1 1
Direct
0.5000 0.5000 0.5000
0.7500 0.7500 0.7500
0.2500 0.2500 0.2500
0.0000 0.0000 0.0000

---

4.
ZrInCuW | the Open Quantum Materials Database | PBE | relaxed; M_tot = 0.2 μB/cell; symmetry = No. 216; theoretical density = 10320 kg/m3; VASP energy = -6.57 eV per atom
1.0
0.0000 3.3165 3.3165
3.3165 0.0000 3.3165
3.3165 3.3165 0.0000
Zr In W Cu
1 1 1 1
Direct
0.5000 0.5000 0.5000
0.0000 0.0000 0.0000
0.2500 0.2500 0.2500
0.7500 0.7500 0.7500